Here is crystalline Cu3Br5 at its relaxed geometry from Alexandria. Energies are from PBE.

Unit cell a=4.268 b=7.490 c=8.947 alpha=86.57 beta=83.36 gamma=59.08
Fractional positions:
Br: 0.300 0.695 0.291
Br: 0.000 0.000 0.500
Br: 0.440 0.235 0.117
Br: 0.700 0.305 0.709
Br: 0.560 0.765 0.883
Cu: 0.000 0.000 0.000
Cu: 0.500 0.500 0.500
Cu: 0.500 0.500 0.000

Summary:
For the final energy, the calculation gives -2.71 eV per atom. The theoretical density comes out at 4.02 Mg/m³. The calculation puts the uncorrected formation energy at -0.133 eV/atom.

=====

Here is crystalline HgBiPd6 at its relaxed geometry from Alexandria. Energies are from PBE.

Unit cell a=7.101 b=7.754 c=5.274 alpha=42.28 beta=47.32 gamma=56.23
Fractional positions:
Pd: 0.050 0.546 0.156
Pd: 0.550 0.752 0.644
Pd: 0.247 0.052 0.251
Pd: 0.450 0.248 0.356
Pd: 0.753 0.948 0.749
Pd: 0.950 0.454 0.844
Bi: 0.500 0.500 0.500
Hg: 0.000 0.000 0.000

Summary:
For the final energy, the calculation gives -4.53 eV per atom. For the formation energy from the elements, the calculation gives -0.11 eV per atom. The theoretical density comes out at 12.19 Mg/m³.